Entry 1:
# Ag3WBr, relaxed, DFT PBE
# * formation energy without anion corrections: 1.715 eV/atom
# * V: 27.013 Å³ per atom
# * M_tot: 0.90 μB per atom
# * distance to the lowest polymorph of the same formula: 130 meV/atom
# * Fermi-level density of states: 1.67 states/eV/f.u.
# * E: -14.61 eV/f.u.
data_Ag3WBr
_chemical_formula_sum 'Ag3 W1 Br1'
_cell_length_a 5.131
_cell_length_b 5.131
_cell_length_c 5.131
_cell_angle_alpha 90.00
_cell_angle_beta 90.00
_cell_angle_gamma 90.00
_space_group_name_H-M_alt 'P m -3 m'
_space_group_IT_number 221
_space_group_name_Hall '-P 4 2 3'
loop_
_atom_site_label
_atom_site_fract_x
_atom_site_fract_y
_atom_site_fract_z
Ag1 0.000 0.000 0.500
W1 0.500 0.500 0.500
Br1 0.000 0.000 0.000

=====

Entry 2:
# YAgBr2, relaxed, DFT PBE
# * formation energy without anion corrections: -0.545 eV/atom
# * V: 25.084 Å³ per atom
# * M_tot: 0.00 μB per atom
# * distance to the lowest polymorph of the same formula: 446 meV/atom
# * E: -14.84 eV/f.u.
data_YAgBr2
_chemical_formula_sum 'Y4 Ag4 Br8'
_cell_length_a 7.376
_cell_length_b 7.376
_cell_length_c 7.376
_cell_angle_alpha 90.00
_cell_angle_beta 90.00
_cell_angle_gamma 90.00
_space_group_name_H-M_alt 'F -4 3 m'
_space_group_IT_number 216
_space_group_name_Hall 'F -4 2 3'
loop_
_atom_site_label
_atom_site_fract_x
_atom_site_fract_y
_atom_site_fract_z
Y1 0.000 0.000 0.000
Ag1 0.250 0.250 0.750
Br1 0.000 0.000 0.500
Br2 0.250 0.250 0.250

=====

Entry 3:
# YAg2Br6, relaxed, DFT PBE
# * formation energy without anion corrections: -0.882 eV/atom
# * V: 33.732 Å³ per atom
# * M_tot: 0.00 μB per atom
# * Fermi-level density of states: 2.01 states/eV/f.u.
# * E: -30.14 eV/f.u.
data_YAg2Br6
_chemical_formula_sum 'Y2 Ag4 Br12'
_cell_length_a 13.493
_cell_length_b 4.940
_cell_length_c 9.502
_cell_angle_alpha 90.00
_cell_angle_beta 106.54
_cell_angle_gamma 90.00
_space_group_name_H-M_alt 'C 1 2/m 1'
_space_group_IT_number 12
_space_group_name_Hall '-C 2y'
loop_
_atom_site_label
_atom_site_fract_x
_atom_site_fract_y
_atom_site_fract_z
Y1 0.000 0.000 0.000
Ag1 0.200 0.000 0.651
Br1 0.019 0.000 0.722
Br2 0.135 0.500 0.070
Br3 0.204 0.500 0.583

=====

> Which of these has the lowest formation energy without anion corrections?

YAg2Br6

=====

> Look up the formation energy without anion corrections of the second one.

-0.545 eV/atom

=====

What did the second record say?
# YAgBr2, relaxed, DFT PBE
# * formation energy without anion corrections: -0.545 eV/atom
# * V: 25.084 Å³ per atom
# * M_tot: 0.00 μB per atom
# * distance to the lowest polymorph of the same formula: 446 meV/atom
# * E: -14.84 eV/f.u.
data_YAgBr2
_chemical_formula_sum 'Y4 Ag4 Br8'
_cell_length_a 7.376
_cell_length_b 7.376
_cell_length_c 7.376
_cell_angle_alpha 90.00
_cell_angle_beta 90.00
_cell_angle_gamma 90.00
_space_group_name_H-M_alt 'F -4 3 m'
_space_group_IT_number 216
_space_group_name_Hall 'F -4 2 3'
loop_
_atom_site_label
_atom_site_fract_x
_atom_site_fract_y
_atom_site_fract_z
Y1 0.000 0.000 0.000
Ag1 0.250 0.250 0.750
Br1 0.000 0.000 0.500
Br2 0.250 0.250 0.250

=====

> M_tot of number 2 (YAgBr2)?

0.00 μB per atom